Tb2Y2Mg15 | PBE-GGA | optimized geometry

Output
E_form = 24 meV/atom

a = 7.901 Å, b = 7.901 Å, c = 7.901 Å
α = 83.12°, β = 83.12°, γ = 83.12°
Fractional positions:
1 Y 0.670 0.670 0.670
2 Y 0.330 0.330 0.330
3 Mg 0.000 0.500 0.000
4 Mg 0.643 0.643 0.158
5 Mg 0.357 0.842 0.357
6 Mg 0.000 0.700 0.300
7 Mg 0.842 0.357 0.357
8 Mg 0.158 0.643 0.643
9 Mg 0.500 0.000 0.000
10 Mg 0.357 0.357 0.842
11 Mg 0.700 0.000 0.300
12 Mg 0.300 0.700 0.000
13 Mg 0.000 0.000 0.500
14 Mg 0.000 0.300 0.700
15 Mg 0.300 0.000 0.700
16 Mg 0.700 0.300 0.000
17 Mg 0.643 0.158 0.643
18 Tb 0.901 0.901 0.901
19 Tb 0.099 0.099 0.099